Record 1
GeSbAu | GGA-PBE | relaxed

Computed properties:
- Crystal system: cubic
- Relative energy among the computed polymorphs: 0.109 eV/atom
- Total energy: -3.820 eV/atom
- V: 25.24 Å³/atom
- SG: F-43m (216)

Lattice parameters (Å, degrees): 4.749 4.749 4.749 60.00 60.00 60.00
Positions (direct):
Ge  0.000  0.000  0.000
Sb  0.750  0.750  0.750
Au  0.500  0.500  0.500

=====

Record 2
GdErHg2 | GGA-PBE | relaxed

Computed properties:
- Crystal system: orthorhombic
- Relative energy among the computed polymorphs: 0.187 eV/atom
- Energy of formation from the pure elements: -293 meV per atom
- Total energy: -2.746 eV/atom
- Total magnetic moment: 0.0 μB/f.u.
- V: 25.87 Å³/atom
- SG: Amm2 (38)

Lattice parameters (Å, degrees): 5.165 6.816 6.816 59.60 90.00 90.00
Positions (direct):
Gd  0.000  0.000  0.000
Gd  0.500  0.362  0.362
Er  0.000  0.507  0.981
Er  0.000  0.981  0.507
Hg  0.000  0.498  0.498
Hg  0.500  0.349  0.847
Hg  0.500  0.837  0.837
Hg  0.500  0.847  0.349

=====

Record 3
UNiMo | GGA-PBE | relaxed

Computed properties:
- Crystal system: cubic
- Relative energy among the computed polymorphs: 0.189 eV/atom
- Energy of formation from the pure elements: 706 meV per atom
- Total energy: -8.531 eV/atom
- Total magnetic moment: 0.0 μB/f.u.
- V: 18.66 Å³/atom
- SG: F-43m (216)

Lattice parameters (Å, degrees): 4.294 4.294 4.294 60.00 60.00 60.00
Positions (direct):
U  0.000  0.000  0.000
Ni  0.250  0.250  0.250
Mo  0.750  0.750  0.750

=====

Record 4
BeCuHgGe | GGA-PBE | relaxed

Computed properties:
- Crystal system: cubic
- Relative energy among the computed polymorphs: 0.000 eV/atom
- Total energy: -2.637 eV/atom
- V: 15.69 Å³/atom
- SG: F-43m (216)

Lattice parameters (Å, degrees): 4.460 4.460 4.460 60.00 60.00 60.00
Positions (direct):
Be  0.000  0.000  0.000
Cu  0.500  0.500  0.500
Hg  0.750  0.750  0.750
Ge  0.250  0.250  0.250

=====

Record 5
PrBeAsO | GGA-PBE | relaxed

Computed properties:
- Crystal system: tetragonal
- Relative energy among the computed polymorphs: 0.000 eV/atom
- Total energy: -6.285 eV/atom
- Total magnetic moment: 0.0 μB/f.u.
- V: 17.09 Å³/atom
- SG: P4/nmm (129)

Lattice parameters (Å, degrees): 3.933 3.933 8.840 90.00 90.00 90.00
Positions (direct):
Pr  0.250  0.250  0.142
Pr  0.750  0.750  0.858
Be  0.250  0.750  0.500
Be  0.750  0.250  0.500
As  0.250  0.250  0.648
As  0.750  0.750  0.352
O  0.250  0.750  0.000
O  0.750  0.250  0.000

=====

Record 6
Na4InGePd2 | GGA-PBE | relaxed

Computed properties:
- Crystal system: tetragonal
- Total energy: -3.026 eV/atom
- V: 19.79 Å³/atom
- SG: P-4m2 (115)

Lattice parameters (Å, degrees): 4.799 4.799 6.875 90.00 90.00 90.00
Positions (direct):
Na  0.000  0.000  0.000
Na  0.000  0.500  0.237
Na  0.500  0.000  0.763
Na  0.500  0.500  0.500
In  0.000  0.000  0.500
Ge  0.500  0.500  0.000
Pd  0.000  0.500  0.767
Pd  0.500  0.000  0.233

=====

Record 7
HfCuPd | GGA-PBE | relaxed

Computed properties:
- Crystal system: tetragonal
- Relative energy among the computed polymorphs: 0.008 eV/atom
- Energy of formation from the pure elements: -539 meV per atom
- Total energy: -6.822 eV/atom
- Total magnetic moment: 0.0 μB/f.u.
- V: 16.14 Å³/atom
- SG: P4/mmm (123)

Lattice parameters (Å, degrees): 3.380 3.380 8.476 90.00 90.00 90.00
Positions (direct):
Hf  0.000  0.000  0.000
Hf  0.500  0.500  0.500
Cu  0.000  0.000  0.337
Cu  0.000  0.000  0.663
Pd  0.500  0.500  0.173
Pd  0.500  0.500  0.827

=====

Record 8
Gd10S14O | GGA-PBE | relaxed

Computed properties:
- Crystal system: tetragonal
- Total energy: -6.548 eV/atom
- Total magnetic moment: 0.0 μB/f.u.
- V: 21.37 Å³/atom
- SG: I4_1/acd (142)

Lattice parameters (Å, degrees): 14.316 14.316 14.316 117.86 117.86 93.75
Positions (direct):
Gd  0.011  0.761  0.522
Gd  0.019  0.420  0.345
Gd  0.074  0.199  0.889
Gd  0.075  0.920  0.901
Gd  0.080  0.481  0.155
Gd  0.174  0.075  0.655
Gd  0.185  0.074  0.374
Gd  0.190  0.815  0.389
Gd  0.199  0.810  0.126
Gd  0.239  0.261  0.250
Gd  0.261  0.511  0.022
Gd  0.301  0.426  0.611
Gd  0.310  0.699  0.626
Gd  0.315  0.690  0.889
Gd  0.326  0.981  0.901
Gd  0.420  0.575  0.401
Gd  0.425  0.326  0.845
Gd  0.426  0.315  0.126
Gd  0.481  0.826  0.401
Gd  0.489  0.011  0.750
Gd  0.511  0.989  0.250
Gd  0.519  0.174  0.599
Gd  0.574  0.685  0.874
Gd  0.575  0.674  0.155
Gd  0.580  0.425  0.599
Gd  0.674  0.019  0.099
Gd  0.685  0.310  0.111
Gd  0.690  0.301  0.374
Gd  0.699  0.574  0.389
Gd  0.739  0.489  0.978
Gd  0.761  0.739  0.750
Gd  0.801  0.190  0.874
Gd  0.810  0.185  0.611
Gd  0.815  0.926  0.626
Gd  0.826  0.925  0.345
Gd  0.920  0.519  0.845
Gd  0.925  0.080  0.099
Gd  0.926  0.801  0.111
Gd  0.981  0.580  0.655
Gd  0.989  0.239  0.478
S  0.020  0.248  0.081
S  0.021  0.878  0.408
S  0.030  0.387  0.908
S  0.061  0.980  0.729
S  0.100  0.250  0.350
S  0.101  0.634  0.392
S  0.113  0.470  0.592
S  0.122  0.030  0.142
S  0.134  0.601  0.892
S  0.168  0.748  0.729
S  0.209  0.242  0.608
S  0.242  0.134  0.033
S  0.248  0.668  0.229
S  0.250  0.400  0.150
S  0.250  0.900  0.650
S  0.252  0.480  0.419
S  0.258  0.291  0.892
S  0.291  0.899  0.033
S  0.332  0.061  0.581
S  0.366  0.258  0.467
S  0.378  0.521  0.908
S  0.387  0.979  0.358
S  0.399  0.791  0.533
S  0.400  0.750  0.150
S  0.439  0.168  0.919
S  0.470  0.378  0.358
S  0.479  0.887  0.858
S  0.480  0.561  0.229
S  0.520  0.439  0.771
S  0.521  0.113  0.142
S  0.530  0.622  0.642
S  0.561  0.832  0.081
S  0.600  0.250  0.850
S  0.601  0.209  0.467
S  0.613  0.021  0.642
S  0.622  0.479  0.092
S  0.634  0.742  0.533
S  0.668  0.939  0.419
S  0.709  0.101  0.967
S  0.742  0.709  0.108
S  0.748  0.520  0.581
S  0.750  0.100  0.350
S  0.750  0.600  0.850
S  0.752  0.332  0.771
S  0.758  0.866  0.967
S  0.791  0.758  0.392
S  0.832  0.252  0.271
S  0.866  0.399  0.108
S  0.878  0.970  0.858
S  0.887  0.530  0.408
S  0.899  0.366  0.608
S  0.900  0.750  0.650
S  0.939  0.020  0.271
S  0.970  0.613  0.092
S  0.979  0.122  0.592
S  0.980  0.752  0.919
O  0.125  0.875  0.250
O  0.375  0.625  0.750
O  0.625  0.375  0.250
O  0.875  0.125  0.750

=====

Record 9
TmAuSeO | GGA-PBE | relaxed

Computed properties:
- Crystal system: tetragonal
- Relative energy among the computed polymorphs: 0.102 eV/atom
- Total energy: -5.873 eV/atom
- Total magnetic moment: 0.0 μB/f.u.
- V: 18.01 Å³/atom
- SG: P4/nmm (129)

Lattice parameters (Å, degrees): 3.897 3.897 9.488 90.00 90.00 90.00
Positions (direct):
Tm  0.250  0.250  0.114
Tm  0.750  0.750  0.886
Au  0.250  0.750  0.500
Au  0.750  0.250  0.500
Se  0.250  0.250  0.721
Se  0.750  0.750  0.279
O  0.250  0.750  0.000
O  0.750  0.250  0.000

=====

Record 10
NdAsNO | GGA-PBE | relaxed

Computed properties:
- Crystal system: orthorhombic
- Relative energy among the computed polymorphs: 0.085 eV/atom
- Total energy: -6.835 eV/atom
- Total magnetic moment: 0.0 μB/f.u.
- V: 18.83 Å³/atom
- SG: Pmc2_1 (26)

Lattice parameters (Å, degrees): 4.442 5.737 5.910 90.00 90.00 90.00
Positions (direct):
Nd  0.000  0.221  0.000
Nd  0.000  0.779  0.500
As  0.500  0.326  0.621
As  0.500  0.674  0.121
N  0.500  0.413  0.936
N  0.500  0.587  0.436
O  0.000  0.129  0.353
O  0.000  0.871  0.853

=====

Record 11
Ho3Bi2As | GGA-PBE | relaxed

Computed properties:
- Crystal system: trigonal
- Total energy: -5.466 eV/atom
- Total magnetic moment: 0.0 μB/f.u.
- V: 28.60 Å³/atom
- SG: P-3m1 (164)

Lattice parameters (Å, degrees): 4.303 4.303 10.700 90.00 90.00 120.00
Positions (direct):
Ho  0.000  0.000  0.000
Ho  0.333  0.667  0.354
Ho  0.667  0.333  0.646
Bi  0.333  0.667  0.825
Bi  0.667  0.333  0.175
As  0.000  0.000  0.500

=====

Record 12
Li4CuSi2Pt | GGA-PBE | relaxed

Computed properties:
- Crystal system: tetragonal
- Total energy: -4.008 eV/atom
- Total magnetic moment: 0.0 μB/f.u.
- V: 12.42 Å³/atom
- SG: P-4m2 (115)

Lattice parameters (Å, degrees): 4.133 4.133 5.817 90.00 90.00 90.00
Positions (direct):
Li  0.000  0.000  0.000
Li  0.000  0.500  0.739
Li  0.500  0.000  0.261
Li  0.500  0.500  0.500
Cu  0.000  0.000  0.500
Si  0.000  0.500  0.247
Si  0.500  0.000  0.753
Pt  0.500  0.500  0.000